KRbZn2Au | PBE-GGA | relaxed

Total magnetic moment (μB/cell): 0.00
Energy above the most stable polymorph in this dataset (meV/atom): 38.1
E_tot (eV for the cell shown): -7.76

Cell and atoms, written as CIF:
```
data_KRbZn2Au
_chemical_formula_sum 'K1 Rb1 Zn2 Au1'
_space_group_name_H-M_alt 'P 4/m m m'
_space_group_IT_number 123
_space_group_name_Hall '-P 4 2'
_cell_length_a 5.167
_cell_length_b 5.167
_cell_length_c 6.312
_cell_angle_alpha 90.00
_cell_angle_beta 90.00
_cell_angle_gamma 90.00
loop_
_atom_site_label
_atom_site_fract_x
_atom_site_fract_y
_atom_site_fract_z
K1 0.000 0.000 0.000
Rb1 0.500 0.500 0.000
Zn1 0.000 0.500 0.500
Au1 0.500 0.500 0.500
```